A relaxed Zr4AlSi crystal, computed with GGA-PBE.

abc: 10.4043 10.4043 6.8449
angles: 90.00 90.00 160.23
Last column: nearest neighbours and their distance in Å.
Fractional coordinates of all 12 atoms:
Zr: 0.0000 0.0000 0.0000  4 Si 2.89, 4 Zr 2.99
Zr: 0.0000 0.0000 0.5000  4 Si 2.89, 4 Zr 2.99
Zr: 0.1600 0.8400 0.5374  3 Al 2.84-2.94, 3 Zr 2.91-3.10, 2 Si 2.91
Zr: 0.1600 0.8400 0.9626  3 Al 2.84-2.94, 3 Zr 2.91-3.10, 2 Si 2.91
Zr: 0.4180 0.5820 0.7500  1 Al 2.85, 8 Zr 2.99-3.10, 1 Si 3.18
Zr: 0.5820 0.4180 0.2500  1 Al 2.85, 8 Zr 2.99-3.10, 1 Si 3.18
Zr: 0.8400 0.1600 0.0374  3 Al 2.84-2.94, 3 Zr 2.91-3.10, 2 Si 2.91
Zr: 0.8400 0.1600 0.4626  3 Al 2.84-2.94, 3 Zr 2.91-3.10, 2 Si 2.91
Al: 0.2791 0.7209 0.7500  7 Zr 2.84-2.94
Al: 0.7209 0.2791 0.2500  7 Zr 2.84-2.94
Si: 0.4271 0.5729 0.2500  9 Zr 2.89-3.18
Si: 0.5729 0.4271 0.7500  9 Zr 2.89-3.18

- Calculated total energy: -89.5 eV per cell
- ΔE_f (raw): -0.235 eV per atom
- Crystal system: orthorhombic
- Relative energy among the computed polymorphs: 312 meV/atom

A relaxed Zr2AlSi2 crystal, computed with GGA-PBE.

abc: 8.3666 8.3666 8.3666
angles: 156.28 156.28 33.79
Last column: nearest neighbours and their distance in Å.
Fractional coordinates of all 5 atoms:
Zr: 0.1123 0.1123 0.0000  4 Si 2.80, 4 Al 3.02
Zr: 0.8877 0.8877 0.0000  4 Si 2.80, 4 Al 3.02
Al: 0.5000 0.5000 0.0000  8 Zr 3.02
Si: 0.2500 0.7500 0.5000  4 Si 2.43
Si: 0.7500 0.2500 0.5000  4 Si 2.43

- Calculated total energy: -33.7 eV per cell
- ΔE_f (raw): -0.404 eV per atom
- Crystal system: tetragonal

A relaxed Zr2Al2Si crystal, computed with GGA-PBE.

abc: 3.9211 3.9211 14.0476
angles: 90.00 90.00 90.00
Last column: nearest neighbours and their distance in Å.
Fractional coordinates of all 10 atoms:
Zr: 0.2500 0.2500 0.1536  5 Al 2.71-2.92
Zr: 0.2500 0.7500 0.5000  4 Zr 2.77, 4 Al 2.91, 4 Si 3.03
Zr: 0.7500 0.2500 0.5000  4 Zr 2.77, 4 Al 2.91, 4 Si 3.03
Zr: 0.7500 0.7500 0.8464  5 Al 2.71-2.92
Al: 0.2500 0.2500 0.3465  5 Zr 2.71-2.91, 4 Si 2.78
Al: 0.2500 0.7500 0.0000  4 Al 2.77, 4 Zr 2.92
Al: 0.7500 0.2500 0.0000  4 Al 2.77, 4 Zr 2.92
Al: 0.7500 0.7500 0.6535  5 Zr 2.71-2.91, 4 Si 2.78
Si: 0.2500 0.2500 0.6646  4 Al 2.78, 4 Zr 3.03
Si: 0.7500 0.7500 0.3354  4 Al 2.78, 4 Zr 3.03

- Calculated total energy: -58.1 eV per cell
- ΔE_f (raw): 0.186 eV per atom
- Crystal system: tetragonal
- Relative energy among the computed polymorphs: 731 meV/atom

A relaxed ZrAl2Si crystal, computed with GGA-PBE.

abc: 4.5769 4.5769 8.4850
angles: 90.00 90.00 120.00
Last column: nearest neighbours and their distance in Å.
Fractional coordinates of all 8 atoms:
Zr: 0.3333 0.6667 0.4161  3 Si 2.69, 1 Al 2.84, 3 Zr 3.00
Zr: 0.6667 0.3333 0.5839  3 Si 2.69, 1 Al 2.84, 3 Zr 3.00
Al: 0.3333 0.6667 0.0819  4 Al 2.62-2.92, 1 Zr 2.84
Al: 0.3333 0.6667 0.7730  4 Al 2.62-2.92, 3 Si 2.86
Al: 0.6667 0.3333 0.2270  4 Al 2.62-2.92, 3 Si 2.86
Al: 0.6667 0.3333 0.9181  4 Al 2.62-2.92, 1 Zr 2.84
Si: 0.0000 0.0000 0.3550  1 Si 2.46, 3 Zr 2.69
Si: 0.0000 0.0000 0.6450  1 Si 2.46, 3 Zr 2.69

- Calculated total energy: -43.2 eV per cell
- ΔE_f (raw): -0.034 eV per atom
- Crystal system: trigonal